1.
{
  "formula": "Dy6HgC3S2",
  "functional": "GGA-PBE",
  "state": "optimized geometry",
  "e_form_raw_ev_per_fu": -10.92,
  "spacegroup": "C2/m",
  "lattice": [[3.719, 0.000, 0.000], [0.000, 7.947, -0.034], [-1.859, -2.618, 8.065]],
  "species": ["Dy", "Dy", "Dy", "Dy", "Dy", "Dy", "Hg", "C", "C", "C", "S", "S"],
  "frac_coords": [[0.319, 0.940, 0.638], [0.663, 0.603, 0.325], [0.681, 0.060, 0.362], [0.987, 0.292, 0.975], [0.013, 0.708, 0.025], [0.337, 0.397, 0.675], [0.500, 0.000, 0.000], [0.500, 0.500, 0.000], [0.831, 0.171, 0.661], [0.169, 0.829, 0.339], [0.838, 0.675, 0.676], [0.162, 0.325, 0.324]]
}


2.
{
  "formula": "Tb3Hg5",
  "functional": "GGA-PBE",
  "state": "optimized geometry",
  "formation_energy_mev_per_atom": -450.1,
  "relative_energy_mev_per_atom": 0,
  "spacegroup": "Cmcm",
  "lattice": [[6.387, -0.127, 0.000], [-1.536, 6.201, 0.000], [0.000, 0.000, 10.226]],
  "species": ["Tb", "Tb", "Tb", "Tb", "Tb", "Tb", "Hg", "Hg", "Hg", "Hg", "Hg", "Hg", "Hg", "Hg", "Hg", "Hg"],
  "frac_coords": [[0.212, 0.788, 0.000], [0.788, 0.212, 0.000], [0.788, 0.212, 0.500], [0.212, 0.788, 0.500], [0.563, 0.563, 0.750], [0.437, 0.437, 0.250], [0.473, 0.036, 0.750], [0.527, 0.964, 0.250], [0.036, 0.473, 0.750], [0.964, 0.527, 0.250], [0.965, 0.965, 0.750], [0.035, 0.035, 0.250], [0.293, 0.293, 0.973], [0.707, 0.707, 0.027], [0.707, 0.707, 0.473], [0.293, 0.293, 0.527]]
}


3.
{
  "formula": "Cs3SiI",
  "functional": "GGA-PBE",
  "state": "optimized geometry",
  "e_form_raw_ev_per_fu": -1.08,
  "relative_energy_mev_per_atom": 0,
  "spacegroup": "Pm-3m",
  "lattice": [[-6.701, -1.569, -0.325], [0.405, -0.308, -6.871], [1.550, -6.701, 0.392]],
  "species": ["Cs", "Cs", "Cs", "I", "Si"],
  "frac_coords": [[0.000, 0.500, 0.000], [0.000, 0.000, 0.500], [0.500, 0.000, 0.000], [0.500, 0.500, 0.500], [0.000, 0.000, 0.000]]
}


4.
{
  "formula": "LiTl2Si",
  "functional": "GGA-PBE",
  "state": "optimized geometry",
  "e_form_raw_ev_per_fu": 0.67,
  "relative_energy_mev_per_atom": 26,
  "spacegroup": "P2/m",
  "lattice": [[-1.107, -0.418, -3.741], [-1.693, -2.880, 0.822], [-7.282, 0.685, 2.078]],
  "species": ["Li", "Si", "Tl", "Tl"],
  "frac_coords": [[0.500, 0.250, 0.250], [0.500, 0.750, 0.750], [0.000, 0.002, 0.995], [0.000, 0.498, 0.505]]
}


5.
{
  "formula": "Ba2AlAs",
  "functional": "GGA-PBE",
  "state": "optimized geometry",
  "formation_energy_mev_per_atom": -209.7,
  "relative_energy_mev_per_atom": 424,
  "spacegroup": "Pmmm",
  "lattice": [[-4.601, -2.920, 1.589], [0.497, -2.414, -2.995], [3.931, -4.060, 3.925]],
  "species": ["As", "Ba", "Ba", "Al"],
  "frac_coords": [[0.500, 0.500, 0.875], [0.000, 0.000, 0.875], [0.500, 0.500, 0.375], [0.000, 0.000, 0.375]]
}


6.
{
  "formula": "NdHo3Er3",
  "functional": "GGA-PBE",
  "state": "optimized geometry",
  "formation_energy_mev_per_atom": 293.4,
  "relative_energy_mev_per_atom": 176,
  "spacegroup": "R3m",
  "lattice": [[7.107, 0.000, 0.000], [-2.369, 6.121, 0.000], [-2.369, -3.061, 5.301]],
  "species": ["Nd", "Ho", "Ho", "Ho", "Er", "Er", "Er"],
  "frac_coords": [[0.538, 0.000, 0.000], [0.571, 0.600, 0.600], [0.970, 0.000, 0.400], [0.970, 0.400, 0.000], [0.011, 0.553, 0.553], [0.458, 0.000, 0.447], [0.458, 0.447, 0.000]]
}


7.
{
  "formula": "Cu4SiPb",
  "functional": "GGA-PBE",
  "state": "optimized geometry",
  "e_form_raw_ev_per_fu": 1.34,
  "spacegroup": "F-43m",
  "lattice": [[0.000, 3.578, 3.578], [3.578, 0.000, 3.578], [3.578, 3.578, 0.000]],
  "species": ["Cu", "Cu", "Cu", "Cu", "Si", "Pb"],
  "frac_coords": [[0.626, 0.626, 0.123], [0.626, 0.123, 0.626], [0.626, 0.626, 0.626], [0.123, 0.626, 0.626], [0.000, 0.000, 0.000], [0.250, 0.250, 0.250]]
}


8.
{
  "formula": "CoPbSe2",
  "functional": "GGA-PBE",
  "state": "optimized geometry",
  "e_form_raw_ev_per_fu": 1.45,
  "spacegroup": "Cmmm",
  "lattice": [[-1.422, -1.605, -4.521], [1.476, -4.631, 1.188], [-3.221, -0.703, 1.263]],
  "species": ["Co", "Pb", "Se", "Se"],
  "frac_coords": [[0.500, 0.000, 0.500], [0.000, 0.500, 0.500], [0.000, 0.000, 0.000], [0.500, 0.500, 0.000]]
}


9.
{
  "formula": "Nb12ZnSn3",
  "functional": "GGA-PBE",
  "state": "optimized geometry",
  "formation_energy_mev_per_atom": -127.4,
  "spacegroup": "Pmmm",
  "lattice": [[-4.954, 1.747, 0.740], [-1.614, -2.790, -4.220], [-1.990, -8.286, 6.238]],
  "species": ["Nb", "Nb", "Nb", "Nb", "Nb", "Nb", "Nb", "Nb", "Nb", "Nb", "Nb", "Nb", "Zn", "Sn", "Sn", "Sn"],
  "frac_coords": [[0.500, 0.000, 0.379], [0.500, 0.000, 0.872], [0.748, 0.500, 0.000], [0.758, 0.500, 0.500], [0.000, 0.750, 0.256], [0.000, 0.750, 0.744], [0.500, 0.000, 0.128], [0.500, 0.000, 0.621], [0.252, 0.500, 0.000], [0.242, 0.500, 0.500], [0.000, 0.250, 0.256], [0.000, 0.250, 0.744], [0.000, 0.000, 0.500], [0.500, 0.500, 0.250], [0.500, 0.500, 0.750], [0.000, 0.000, 0.000]]
}


10.
{
  "formula": "KZrCr2",
  "functional": "GGA-PBE",
  "state": "optimized geometry",
  "formation_energy_mev_per_atom": 596.0,
  "relative_energy_mev_per_atom": 0,
  "spacegroup": "Pm",
  "lattice": [[-1.170, 1.995, -2.052], [-2.779, -0.261, 1.330], [2.063, 7.163, 5.790]],
  "species": ["Cr", "Cr", "K", "Zr"],
  "frac_coords": [[0.000, 0.877, 0.033], [0.500, 0.375, 0.160], [0.000, 0.869, 0.465], [0.500, 0.379, 0.842]]
}


11.
{
  "formula": "BaH4Pt",
  "functional": "GGA-PBE",
  "state": "optimized geometry",
  "e_tot_ev_per_cell": -49.5,
  "spacegroup": "C2/m",
  "lattice": [[-0.058, 5.842, -3.424], [-4.792, -4.050, 7.850], [5.008, 0.465, 0.067]],
  "species": ["Ba", "Ba", "H", "H", "H", "H", "H", "H", "H", "H", "Pt", "Pt"],
  "frac_coords": [[0.500, 0.750, 0.500], [0.500, 0.250, 0.500], [0.846, 0.213, 0.188], [0.842, 0.475, 0.188], [0.842, 0.975, 0.188], [0.847, 0.714, 0.188], [0.153, 0.286, 0.812], [0.158, 0.025, 0.812], [0.158, 0.525, 0.812], [0.154, 0.787, 0.812], [0.000, 0.750, 0.500], [0.000, 0.250, 0.500]]
}


12.
{
  "formula": "Ce2HPd9",
  "functional": "GGA-PBE",
  "state": "optimized geometry",
  "e_tot_ev_per_cell": -67.1,
  "spacegroup": "P4/mmm",
  "lattice": [[4.241, 0.000, 0.000], [0.000, 4.241, 0.000], [0.000, 0.000, 11.002]],
  "species": ["Ce", "Ce", "H", "Pd", "Pd", "Pd", "Pd", "Pd", "Pd", "Pd", "Pd", "Pd"],
  "frac_coords": [[0.000, 0.000, 0.310], [0.000, 0.000, 0.690], [0.000, 0.000, 0.000], [0.500, 0.500, 0.000], [0.500, 0.500, 0.321], [0.500, 0.500, 0.679], [0.500, 0.000, 0.143], [0.500, 0.000, 0.500], [0.500, 0.000, 0.857], [0.000, 0.500, 0.143], [0.000, 0.500, 0.500], [0.000, 0.500, 0.857]]
}


Number 1: magnetic moment 0.00 μB per formula unit. Number 2: magnetic moment 0.00 μB per formula unit. Number 3: magnetic moment 0.00 μB per formula unit. Number 4: magnetic moment 0.00 μB per formula unit. Number 5: magnetic moment 0.00 μB per formula unit. Number 6: magnetic moment 0.00 μB per formula unit. Number 7: magnetic moment 0.00 μB per formula unit. Number 8: magnetic moment 2.32 μB per formula unit. Number 9: magnetic moment 0.00 μB per formula unit. Number 10: magnetic moment 1.94 μB per formula unit. Number 11: magnetic moment 0.00 μB per formula unit. Number 12: magnetic moment 0.00 μB per formula unit.